# 1
NaLuTi2O6: single point on PBEsol structure, meta-GGA SCAN.

a b c (Å): 5.2079 5.4586 7.4874
angles (deg): 90.00 90.00 90.00
Fractional coordinates of all 20 atoms:
Lu (0.9793, 0.8277, 0.5000)
O (0.2194, 0.9651, 0.2055)
O (0.3830, 0.7213, 0.5000)
O (0.8158, 0.5618, 0.3085)
O (0.0807, 0.2203, 0.5000)
O (0.2194, 0.9651, 0.7945)
Ti (0.4901, 0.7351, 0.7519)
O (0.5807, 0.7797, 0.0000)
Ti (0.9901, 0.2649, 0.2519)
Ti (0.9901, 0.2649, 0.7481)
O (0.7194, 0.0349, 0.7055)
Lu (0.4793, 0.1723, 0.0000)
Ti (0.4901, 0.7351, 0.2481)
Na (0.0066, 0.7134, 0.0000)
O (0.8830, 0.2787, 0.0000)
O (0.3158, 0.4382, 0.1915)
O (0.3158, 0.4382, 0.8085)
O (0.7194, 0.0349, 0.2945)
O (0.8158, 0.5618, 0.6915)
Na (0.5066, 0.2866, 0.5000)

Summary:
Crystal system ... orthorhombic
Electronic total energy ... -1.19462 Ry/atom

# 2
Nb9As7Pd: single point on PBEsol structure, meta-GGA SCAN.

a b c (Å): 3.5686 16.5753 16.5753
angles (deg): 120.00 90.00 90.00
Fractional coordinates of all 51 atoms:
Nb (0.5000, 0.6443, 0.6747)
As (0.0000, 0.5116, 0.6273)
As (0.5000, 0.4471, 0.1569)
As (0.5000, 0.8431, 0.2902)
As (0.5000, 0.6267, 0.1149)
Nb (0.5000, 0.5046, 0.9276)
Nb (0.0000, 0.7990, 0.6830)
As (0.0000, 0.5529, 0.8431)
Pd (0.5000, 0.1552, 0.0049)
As (0.5000, 0.8851, 0.5118)
As (0.5000, 0.0000, 0.0000)
Nb (0.5000, 0.4230, 0.4954)
Nb (0.0000, 0.5335, 0.2878)
As (0.0000, 0.7324, 0.8059)
Nb (0.0000, 0.3555, 0.3255)
Nb (0.5000, 0.2873, 0.7536)
As (0.5000, 0.4882, 0.3733)
Nb (0.0000, 0.1258, 0.1296)
Nb (0.5000, 0.4663, 0.7127)
Pd (0.5000, 0.8497, 0.8448)
Nb (0.5000, 0.0724, 0.5770)
As (0.5000, 0.2629, 0.1933)
Nb (0.0000, 0.9700, 0.6445)
Nb (0.0000, 0.9277, 0.4227)
As (0.0000, 0.1941, 0.9265)
Pd (0.5000, 0.9951, 0.1503)
Nb (0.0000, 0.8840, 0.2010)
Nb (0.0000, 0.7122, 0.2458)
Nb (0.5000, 0.2030, 0.3146)
Nb (0.5000, 0.6854, 0.8884)
Nb (0.5000, 0.3253, 0.9696)
As (0.5000, 0.8067, 0.0697)
Nb (0.5000, 0.1116, 0.7970)
Nb (0.0000, 0.6745, 0.0300)
As (0.0000, 0.2902, 0.4471)
As (0.0000, 0.3333, 0.6667)
Nb (0.0000, 0.7542, 0.4665)
As (0.0000, 0.1157, 0.4884)
Nb (0.0000, 0.3170, 0.1160)
Nb (0.5000, 0.2464, 0.5337)
Nb (0.0000, 0.4950, 0.0723)
As (0.0000, 0.1569, 0.7098)
Nb (0.0000, 0.0039, 0.8742)
As (0.5000, 0.7098, 0.5529)
Nb (0.5000, 0.0304, 0.3557)
As (0.5000, 0.6667, 0.3333)
As (0.0000, 0.0735, 0.2676)
Nb (0.0000, 0.5773, 0.5050)
As (0.0000, 0.3727, 0.8843)
As (0.5000, 0.9303, 0.7371)
Nb (0.0000, 0.8704, 0.9961)

Summary:
Crystal system ... hexagonal
Energy of formation from the pure elements ... -0.6796 eV/atom

# 3
Ba5Dy8Zn4O21: single point on PBEsol structure, meta-GGA SCAN.

a b c (Å): 5.6752 10.0860 10.0860
angles (deg): 85.46 73.66 73.66
Fractional coordinates of all 38 atoms:
O (0.0723, 0.1295, 0.2254)
Zn (0.2507, 0.7089, 0.7898)
O (0.3719, 0.6658, 0.5904)
Zn (0.7493, 0.2911, 0.2102)
O (0.4942, 0.4064, 0.1105)
O (0.2018, 0.2254, 0.8705)
O (0.7023, 0.2254, 0.8705)
O (0.9006, 0.1105, 0.5936)
O (0.2977, 0.7746, 0.1295)
O (0.7982, 0.7746, 0.1295)
Dy (0.2471, 0.9206, 0.5851)
Dy (0.4120, 0.9450, 0.2309)
O (0.6047, 0.8895, 0.4064)
Ba (0.5356, 0.6038, 0.3250)
Ba (0.8606, 0.6750, 0.6038)
Dy (0.7529, 0.0794, 0.4149)
O (0.0110, 0.5936, 0.8895)
O (0.0994, 0.8895, 0.4064)
Zn (0.0405, 0.2102, 0.7089)
Dy (0.1678, 0.5851, 0.0794)
Dy (0.6430, 0.7691, 0.9450)
O (0.0377, 0.5904, 0.3342)
Dy (0.5880, 0.0550, 0.7691)
Ba (0.1394, 0.3250, 0.3962)
O (0.6281, 0.3342, 0.4096)
Ba (0.4644, 0.3962, 0.6750)
O (0.5728, 0.1295, 0.2254)
O (0.9890, 0.4064, 0.1105)
O (0.5058, 0.5936, 0.8895)
Dy (0.8322, 0.4149, 0.9206)
Dy (0.3570, 0.2309, 0.0550)
Zn (0.9595, 0.7898, 0.2911)
O (0.9623, 0.4096, 0.6658)
O (0.5000, 0.0000, 0.0000)
O (0.4272, 0.8705, 0.7746)
Ba (0.0000, 0.0000, 0.0000)
O (0.3953, 0.1105, 0.5936)
O (0.9277, 0.8705, 0.7746)

Summary:
Crystal system ... tetragonal
Electronic total energy ... -1.71295 Ry/atom

# 4
AlTeOs2: single point on PBEsol structure, meta-GGA SCAN.

a b c (Å): 4.4340 4.4340 4.4340
angles (deg): 60.00 60.00 60.00
Fractional coordinates of all 4 atoms:
Al (0.0000, 0.0000, 0.0000)
Os (0.7500, 0.7500, 0.7500)
Os (0.2500, 0.2500, 0.2500)
Te (0.5000, 0.5000, 0.5000)

Summary:
Crystal system ... cubic
Distance to the lowest polymorph of the same formula ... 76 meV per atom

# 5
YCl: single point on PBEsol structure, meta-GGA SCAN.

a b c (Å): 3.7181 3.7181 6.5804
angles (deg): 90.00 90.00 90.00
Fractional coordinates of all 4 atoms:
Y (0.0000, 0.5000, 0.3140)
Cl (0.5000, 0.0000, 0.1435)
Y (0.5000, 0.0000, 0.6860)
Cl (0.0000, 0.5000, 0.8565)

Summary:
Crystal system ... tetragonal
Electronic total energy ... -1.43674 Ry/atom

# 6
Ho3Co: single point on PBEsol structure, meta-GGA SCAN.

a b c (Å): 6.0640 6.7726 9.1953
angles (deg): 90.00 90.00 90.00
Fractional coordinates of all 16 atoms:
Co (0.4504, 0.1128, 0.7500)
Ho (0.6760, 0.1746, 0.0670)
Ho (0.3595, 0.5423, 0.2500)
Co (0.9504, 0.3872, 0.2500)
Co (0.5496, 0.8872, 0.2500)
Ho (0.1760, 0.3254, 0.5670)
Ho (0.8595, 0.9577, 0.7500)
Ho (0.3240, 0.8254, 0.9330)
Ho (0.1760, 0.3254, 0.9330)
Ho (0.8240, 0.6746, 0.0670)
Ho (0.6760, 0.1746, 0.4330)
Co (0.0496, 0.6128, 0.7500)
Ho (0.1405, 0.0423, 0.2500)
Ho (0.6405, 0.4577, 0.7500)
Ho (0.8240, 0.6746, 0.4330)
Ho (0.3240, 0.8254, 0.5670)

Summary:
Crystal system ... orthorhombic
Energy of formation from the pure elements ... -0.1340 eV/atom

# 7
Al2NiBr: single point on PBEsol structure, meta-GGA SCAN.

a b c (Å): 3.6670 3.6670 5.8752
angles (deg): 108.18 108.18 90.00
Fractional coordinates of all 4 atoms:
Ni (0.2500, 0.7500, 0.5000)
Al (0.0000, 0.0000, 0.0000)
Br (0.5000, 0.5000, 0.0000)
Al (0.7500, 0.2500, 0.5000)

Summary:
Crystal system ... tetragonal
Distance to the lowest polymorph of the same formula ... 0 meV per atom

# 8
SbIrCl: single point on PBEsol structure, meta-GGA SCAN.

a b c (Å): 3.1489 3.1489 6.3730
angles (deg): 104.28 104.28 90.09
Fractional coordinates of all 3 atoms:
Sb (0.6975, 0.6975, 0.3950)
Cl (0.9756, 0.9756, 0.9513)
Ir (0.3269, 0.3269, 0.6538)

Summary:
Crystal system ... orthorhombic
Distance to the lowest polymorph of the same formula ... 0 meV per atom

# 9
La2TiPt: single point on PBEsol structure, meta-GGA SCAN.

a b c (Å): 5.1427 5.1427 5.1427
angles (deg): 60.00 60.00 60.00
Fractional coordinates of all 4 atoms:
La (0.7500, 0.7500, 0.7500)
La (0.2500, 0.2500, 0.2500)
Ti (0.0000, 0.0000, 0.0000)
Pt (0.5000, 0.5000, 0.5000)

Summary:
Crystal system ... cubic
Energy of formation from the pure elements ... -0.3549 eV/atom

# 10
Ti2Co2Ir: single point on PBEsol structure, meta-GGA SCAN.

a b c (Å): 2.9942 6.5522 6.5522
angles (deg): 90.00 90.00 90.00
Fractional coordinates of all 10 atoms:
Ti (0.5000, 0.1829, 0.6829)
Ir (0.0000, 0.5000, 0.5000)
Ti (0.5000, 0.6829, 0.8171)
Co (0.0000, 0.3784, 0.8784)
Co (0.0000, 0.8784, 0.6216)
Ti (0.5000, 0.8171, 0.3171)
Ir (0.0000, 0.0000, 0.0000)
Co (0.0000, 0.1216, 0.3784)
Ti (0.5000, 0.3171, 0.1829)
Co (0.0000, 0.6216, 0.1216)

Summary:
Crystal system ... tetragonal
Energy of formation from the pure elements ... -0.4333 eV/atom